# SrMgAg4 PBE optimized geometry
# Energy above the lowest structure with this stoichiometry   0 meV/atom
# Formation enthalpy at 0 K   -175 meV/atom
data_SrMgAg4
_chemical_formula_sum 'Sr4 Mg4 Ag16'
_cell_length_a 8.111
_cell_length_b 8.111
_cell_length_c 8.111
_cell_angle_alpha 90.00
_cell_angle_beta 90.00
_cell_angle_gamma 90.00
_space_group_name_H-M_alt 'F -4 3 m'
_space_group_IT_number 216
_space_group_name_Hall 'F -4 2 3'
loop_
_atom_site_label
_atom_site_fract_x
_atom_site_fract_y
_atom_site_fract_z
_atom_site_occupancy
Sr1 0.000 0.000 0.000 1
Mg1 0.250 0.250 0.750 1
Ag1 0.124 0.124 0.376 1

# Sr12MgAg6 PBE optimized geometry
# Formation enthalpy at 0 K   -187 meV/atom
data_Sr12MgAg6
_chemical_formula_sum 'Sr24 Mg2 Ag12'
_cell_length_a 11.392
_cell_length_b 11.392
_cell_length_c 11.392
_cell_angle_alpha 90.00
_cell_angle_beta 90.00
_cell_angle_gamma 90.00
_space_group_name_H-M_alt 'I m -3'
_space_group_IT_number 204
_space_group_name_Hall '-I 2 2 3'
loop_
_atom_site_label
_atom_site_fract_x
_atom_site_fract_y
_atom_site_fract_z
_atom_site_occupancy
Sr1 0.000 0.182 0.299 1
Mg1 0.000 0.000 0.000 1
Ag1 0.000 0.377 0.500 1

# SrMg4Ag PBE optimized geometry
# Energy above the lowest structure with this stoichiometry   0 meV/atom
# Formation enthalpy at 0 K   -145 meV/atom
data_SrMg4Ag
_chemical_formula_sum 'Sr2 Mg8 Ag2'
_cell_length_a 8.930
_cell_length_b 4.512
_cell_length_c 7.832
_cell_angle_alpha 90.00
_cell_angle_beta 90.00
_cell_angle_gamma 90.00
_space_group_name_H-M_alt 'P m m a'
_space_group_IT_number 51
loop_
_space_group_symop_operation_xyz
'x,y,z'
'-x,-y,-z'
'-x+1/2,-y,z'
'x+1/2,y,-z'
'x+1/2,-y,-z'
'-x+1/2,y,z'
'-x,y,-z'
'x,-y,z'
loop_
_atom_site_label
_atom_site_fract_x
_atom_site_fract_y
_atom_site_fract_z
_atom_site_occupancy
Sr1 0.250 0.000 0.104 1
Mg1 0.000 0.000 0.500 1
Mg2 0.059 0.500 0.794 1
Mg3 0.250 0.500 0.453 1
Ag1 0.250 0.000 0.696 1

# SrMgAg2 PBE optimized geometry
# Formation enthalpy at 0 K   35 meV/atom
data_SrMgAg2
_chemical_formula_sum 'Sr4 Mg4 Ag8'
_cell_length_a 5.324
_cell_length_b 5.324
_cell_length_c 18.475
_cell_angle_alpha 90.00
_cell_angle_beta 90.00
_cell_angle_gamma 90.00
_space_group_name_H-M_alt 'I -4 2 d'
_space_group_IT_number 122
_space_group_name_Hall 'I -4 2bw'
loop_
_atom_site_label
_atom_site_fract_x
_atom_site_fract_y
_atom_site_fract_z
_atom_site_occupancy
Sr1 0.000 0.000 0.000 1
Mg1 0.000 0.000 0.500 1
Ag1 0.003 0.250 0.625 1

# Sr3MgAg8 PBE optimized geometry
# Formation enthalpy at 0 K   -186 meV/atom
data_Sr3MgAg8
_chemical_formula_sum 'Sr9 Mg3 Ag24'
_cell_length_a 5.8605
_cell_length_b 5.8605
_cell_length_c 28.4931
_cell_angle_alpha 90.00
_cell_angle_beta 90.00
_cell_angle_gamma 120.00
_space_group_name_H-M_alt 'R 3 m'
_space_group_IT_number 160
_space_group_name_Hall 'R 3 -2"'
loop_
_atom_site_label
_atom_site_fract_x
_atom_site_fract_y
_atom_site_fract_z
_atom_site_occupancy
Sr1 0.0000 0.0000 0.0000 1
Sr2 0.0000 0.0000 0.1294 1
Sr3 0.0000 0.0000 0.6161 1
Mg1 0.0000 0.0000 0.4939 1
Ag1 0.0000 0.0000 0.3111 1
Ag2 0.0000 0.0000 0.8119 1
Ag3 0.0018 0.5009 0.0633 1
Ag4 0.0028 0.5014 0.5599 1

# Sr3Mg4Ag4 PBE optimized geometry
# Energy above the lowest structure with this stoichiometry   57 meV/atom
# Formation enthalpy at 0 K   -190 meV/atom
data_Sr3Mg4Ag4
_chemical_formula_sum 'Sr6 Mg8 Ag8'
_cell_length_a 8.547
_cell_length_b 8.547
_cell_length_c 8.547
_cell_angle_alpha 90.00
_cell_angle_beta 90.00
_cell_angle_gamma 90.00
_space_group_name_H-M_alt 'I -4 3 m'
_space_group_IT_number 217
_space_group_name_Hall 'I -4 2 3'
loop_
_atom_site_label
_atom_site_fract_x
_atom_site_fract_y
_atom_site_fract_z
_atom_site_occupancy
Sr1 0.000 0.000 0.500 1
Mg1 0.130 0.130 0.870 1
Ag1 0.189 0.189 0.189 1

# SrMg7Ag5 PBE optimized geometry
# Formation enthalpy at 0 K   -186 meV/atom
data_SrMg7Ag5
_chemical_formula_sum 'Sr2 Mg14 Ag10'
_cell_length_a 5.705
_cell_length_b 9.984
_cell_length_c 9.841
_cell_angle_alpha 90.00
_cell_angle_beta 90.00
_cell_angle_gamma 90.00
_space_group_name_H-M_alt 'I m m 2'
_space_group_IT_number 44
loop_
_space_group_symop_operation_xyz
'x,y,z'
'-x,-y,z'
'-x,y,z'
'x,-y,z'
'x+1/2,y+1/2,z+1/2'
'-x+1/2,-y+1/2,z+1/2'
'-x+1/2,y+1/2,z+1/2'
'x+1/2,-y+1/2,z+1/2'
loop_
_atom_site_label
_atom_site_fract_x
_atom_site_fract_y
_atom_site_fract_z
_atom_site_occupancy
Sr1 0.000 0.000 0.000 1
Mg1 0.000 0.000 0.339 1
Mg2 0.000 0.000 0.647 1
Mg3 0.000 0.290 0.500 1
Mg4 0.000 0.349 0.984 1
Mg5 0.000 0.500 0.268 1
Ag1 0.000 0.500 0.715 1
Ag2 0.249 0.255 0.245 1

# Sr3Mg8Ag PBE optimized geometry
# Formation enthalpy at 0 K   -33 meV/atom
data_Sr3Mg8Ag
_chemical_formula_sum 'Sr9 Mg24 Ag3'
_cell_length_a 6.2673
_cell_length_b 6.2673
_cell_length_c 30.8636
_cell_angle_alpha 90.00
_cell_angle_beta 90.00
_cell_angle_gamma 120.00
_space_group_name_H-M_alt 'R 3 m'
_space_group_IT_number 160
_space_group_name_Hall 'R 3 -2"'
loop_
_atom_site_label
_atom_site_fract_x
_atom_site_fract_y
_atom_site_fract_z
_atom_site_occupancy
Sr1 0.0000 0.0000 0.0000 1
Sr2 0.0000 0.0000 0.1280 1
Sr3 0.0000 0.0000 0.5085 1
Mg1 0.0000 0.0000 0.3151 1
Mg2 0.0000 0.0000 0.8157 1
Mg3 0.0005 0.5003 0.5673 1
Mg4 0.1681 0.3363 0.3964 1
Ag1 0.0000 0.0000 0.6491 1

# Sr2Mg15Ag2 PBE optimized geometry
# Formation enthalpy at 0 K   -58 meV/atom
data_Sr2Mg15Ag2
_chemical_formula_sum 'Sr6 Mg45 Ag6'
_cell_length_a 10.3595
_cell_length_b 10.3595
_cell_length_c 15.3256
_cell_angle_alpha 90.00
_cell_angle_beta 90.00
_cell_angle_gamma 120.00
_space_group_name_H-M_alt 'R -3 m'
_space_group_IT_number 166
_space_group_name_Hall '-R 3 2"'
loop_
_atom_site_label
_atom_site_fract_x
_atom_site_fract_y
_atom_site_fract_z
_atom_site_occupancy
Sr1 0.0000 0.0000 0.1661 1
Mg1 0.0000 0.2911 0.5000 1
Mg2 0.0000 0.5000 0.0000 1
Mg3 0.0044 0.5022 0.3468 1
Ag1 0.0000 0.0000 0.4019 1

# SrMgAg2 PBE optimized geometry
# Formation enthalpy at 0 K   -127 meV/atom
data_SrMgAg2
_chemical_formula_sum 'Sr1 Mg1 Ag2'
_cell_length_a 3.698
_cell_length_b 3.698
_cell_length_c 7.314
_cell_angle_alpha 90.00
_cell_angle_beta 90.00
_cell_angle_gamma 90.00
_space_group_name_H-M_alt 'P 4 m m'
_space_group_IT_number 99
loop_
_space_group_symop_operation_xyz
'x,y,z'
'-y,x,z'
'-x,-y,z'
'y,-x,z'
'-x,y,z'
'y,x,z'
'x,-y,z'
'-y,-x,z'
loop_
_atom_site_label
_atom_site_fract_x
_atom_site_fract_y
_atom_site_fract_z
_atom_site_occupancy
Sr1 0.000 0.000 0.000 1
Mg1 0.500 0.500 0.653 1
Ag1 0.000 0.000 0.474 1
Ag2 0.500 0.500 0.274 1

# SrMgAg PBE optimized geometry
# Formation enthalpy at 0 K   -234 meV/atom
data_SrMgAg
_chemical_formula_sum 'Sr4 Mg4 Ag4'
_cell_length_a 4.629
_cell_length_b 4.629
_cell_length_c 16.227
_cell_angle_alpha 90.00
_cell_angle_beta 90.00
_cell_angle_gamma 90.00
_space_group_name_H-M_alt 'I 4/m m m'
_space_group_IT_number 139
_space_group_name_Hall '-I 4 2'
loop_
_atom_site_label
_atom_site_fract_x
_atom_site_fract_y
_atom_site_fract_z
_atom_site_occupancy
Sr1 0.000 0.000 0.172 1
Mg1 0.000 0.500 0.000 1
Ag1 0.000 0.000 0.390 1

# Sr2Mg5Ag5 PBE optimized geometry
# Formation enthalpy at 0 K   -236 meV/atom
data_Sr2Mg5Ag5
_chemical_formula_sum 'Sr2 Mg5 Ag5'
_cell_length_a 4.668
_cell_length_b 5.974
_cell_length_c 10.287
_cell_angle_alpha 90.00
_cell_angle_beta 90.00
_cell_angle_gamma 90.00
_space_group_name_H-M_alt 'P m m m'
_space_group_IT_number 47
loop_
_space_group_symop_operation_xyz
'x,y,z'
'-x,-y,-z'
'-x,-y,z'
'x,y,-z'
'x,-y,-z'
'-x,y,z'
'-x,y,-z'
'x,-y,z'
loop_
_atom_site_label
_atom_site_fract_x
_atom_site_fract_y
_atom_site_fract_z
_atom_site_occupancy
Sr1 0.000 0.000 0.000 1
Sr2 0.000 0.500 0.500 1
Mg1 0.500 0.000 0.500 1
Mg2 0.500 0.252 0.241 1
Ag1 0.000 0.000 0.331 1
Ag2 0.000 0.500 0.169 1
Ag3 0.500 0.500 0.000 1

# Sr2Mg9Ag6 PBE optimized geometry
# Formation enthalpy at 0 K   -94 meV/atom
data_Sr2Mg9Ag6
_chemical_formula_sum 'Sr2 Mg9 Ag6'
_cell_length_a 6.0354
_cell_length_b 6.0354
_cell_length_c 13.7354
_cell_angle_alpha 90.00
_cell_angle_beta 90.00
_cell_angle_gamma 120.00
_space_group_name_H-M_alt 'P 6/m m m'
_space_group_IT_number 191
_space_group_name_Hall '-P 6 2'
loop_
_atom_site_label
_atom_site_fract_x
_atom_site_fract_y
_atom_site_fract_z
_atom_site_occupancy
Sr1 0.0000 0.0000 0.1684 1
Mg1 0.0000 0.5000 0.0000 1
Mg2 0.0000 0.5000 0.3398 1
Ag1 0.3333 0.6667 0.1707 1
Ag2 0.3333 0.6667 0.5000 1

# SrMgAg4 PBE optimized geometry
# Energy above the lowest structure with this stoichiometry   524 meV/atom
# Formation enthalpy at 0 K   349 meV/atom
data_SrMgAg4
_chemical_formula_sum 'Sr1 Mg1 Ag4'
_cell_length_a 4.925
_cell_length_b 4.925
_cell_length_c 7.611
_cell_angle_alpha 90.00
_cell_angle_beta 90.00
_cell_angle_gamma 90.00
_space_group_name_H-M_alt 'P 4/m m m'
_space_group_IT_number 123
_space_group_name_Hall '-P 4 2'
loop_
_atom_site_label
_atom_site_fract_x
_atom_site_fract_y
_atom_site_fract_z
_atom_site_occupancy
Sr1 0.000 0.000 0.000 1
Mg1 0.500 0.500 0.500 1
Ag1 0.000 0.500 0.500 1
Ag2 0.500 0.500 0.171 1

# SrMg4Ag5 PBE optimized geometry
# Formation enthalpy at 0 K   -212 meV/atom
data_SrMg4Ag5
_chemical_formula_sum 'Sr1 Mg4 Ag5'
_cell_length_a 3.465
_cell_length_b 3.465
_cell_length_c 17.164
_cell_angle_alpha 90.00
_cell_angle_beta 90.00
_cell_angle_gamma 90.00
_space_group_name_H-M_alt 'P 4/m m m'
_space_group_IT_number 123
_space_group_name_Hall '-P 4 2'
loop_
_atom_site_label
_atom_site_fract_x
_atom_site_fract_y
_atom_site_fract_z
_atom_site_occupancy
Sr1 0.000 0.000 0.000 1
Mg1 0.000 0.000 0.222 1
Mg2 0.000 0.000 0.408 1
Ag1 0.500 0.500 0.135 1
Ag2 0.500 0.500 0.316 1
Ag3 0.500 0.500 0.500 1

# Sr12MgAg5 PBE optimized geometry
# Formation enthalpy at 0 K   -181 meV/atom
data_Sr12MgAg5
_chemical_formula_sum 'Sr24 Mg2 Ag10'
_cell_length_a 10.696
_cell_length_b 11.011
_cell_length_c 12.037
_cell_angle_alpha 90.00
_cell_angle_beta 90.00
_cell_angle_gamma 90.00
_space_group_name_H-M_alt 'I m m m'
_space_group_IT_number 71
_space_group_name_Hall '-I 2 2'
loop_
_atom_site_label
_atom_site_fract_x
_atom_site_fract_y
_atom_site_fract_z
_atom_site_occupancy
Sr1 0.000 0.191 0.236 1
Sr2 0.194 0.500 0.170 1
Sr3 0.218 0.319 0.500 1
Mg1 0.000 0.000 0.500 1
Ag1 0.000 0.000 0.000 1
Ag2 0.000 0.347 0.000 1
Ag3 0.000 0.500 0.379 1

# Sr5MgAg2 PBE optimized geometry
# Formation enthalpy at 0 K   -198 meV/atom
data_Sr5MgAg2
_chemical_formula_sum 'Sr20 Mg4 Ag8'
_cell_length_a 8.745
_cell_length_b 8.745
_cell_length_c 16.059
_cell_angle_alpha 90.00
_cell_angle_beta 90.00
_cell_angle_gamma 90.00
_space_group_name_H-M_alt 'I 4/m c m'
_space_group_IT_number 140
_space_group_name_Hall '-I 4 2c'
loop_
_atom_site_label
_atom_site_fract_x
_atom_site_fract_y
_atom_site_fract_z
_atom_site_occupancy
Sr1 0.000 0.000 0.000 1
Sr2 0.166 0.334 0.140 1
Mg1 0.000 0.000 0.250 1
Ag1 0.122 0.378 0.500 1

# Sr2Mg2Ag PBE optimized geometry
# Energy above the lowest structure with this stoichiometry   0 meV/atom
# Formation enthalpy at 0 K   -142 meV/atom
data_Sr2Mg2Ag
_chemical_formula_sum 'Sr8 Mg8 Ag4'
_cell_length_a 12.038
_cell_length_b 7.147
_cell_length_c 7.846
_cell_angle_alpha 90.00
_cell_angle_beta 108.07
_cell_angle_gamma 90.00
_space_group_name_H-M_alt 'C 1 2/c 1'
_space_group_IT_number 15
loop_
_space_group_symop_operation_xyz
'x,y,z'
'-x,-y,-z'
'-x,y,-z+1/2'
'x,-y,z+1/2'
'x+1/2,y+1/2,z'
'-x+1/2,-y+1/2,-z'
'-x+1/2,y+1/2,-z+1/2'
'x+1/2,-y+1/2,z+1/2'
loop_
_atom_site_label
_atom_site_fract_x
_atom_site_fract_y
_atom_site_fract_z
_atom_site_occupancy
Sr1 0.161 0.085 0.141 1
Mg1 0.095 0.386 0.459 1
Ag1 0.000 0.287 0.750 1

# Sr2Mg3Ag PBE optimized geometry
# Formation enthalpy at 0 K   -147 meV/atom
data_Sr2Mg3Ag
_chemical_formula_sum 'Sr4 Mg6 Ag2'
_cell_length_a 10.850
_cell_length_b 6.273
_cell_length_c 6.307
_cell_angle_alpha 90.00
_cell_angle_beta 125.16
_cell_angle_gamma 90.00
_space_group_name_H-M_alt 'C 1 2/m 1'
_space_group_IT_number 12
loop_
_space_group_symop_operation_xyz
'x,y,z'
'-x,-y,-z'
'-x,y,-z'
'x,-y,z'
'x+1/2,y+1/2,z'
'-x+1/2,-y+1/2,-z'
'-x+1/2,y+1/2,-z'
'x+1/2,-y+1/2,z'
loop_
_atom_site_label
_atom_site_fract_x
_atom_site_fract_y
_atom_site_fract_z
_atom_site_occupancy
Sr1 0.126 0.000 0.374 1
Mg1 0.000 0.500 0.500 1
Mg2 0.250 0.250 0.000 1
Ag1 0.000 0.500 0.000 1

# SrMgAg2 PBE optimized geometry
# Formation enthalpy at 0 K   -51 meV/atom
data_SrMgAg2
_chemical_formula_sum 'Sr4 Mg4 Ag8'
_cell_length_a 7.317
_cell_length_b 7.317
_cell_length_c 7.317
_cell_angle_alpha 90.00
_cell_angle_beta 90.00
_cell_angle_gamma 90.00
_space_group_name_H-M_alt 'F -4 3 m'
_space_group_IT_number 216
_space_group_name_Hall 'F -4 2 3'
loop_
_atom_site_label
_atom_site_fract_x
_atom_site_fract_y
_atom_site_fract_z
_atom_site_occupancy
Sr1 0.000 0.000 0.000 1
Mg1 0.250 0.250 0.750 1
Ag1 0.000 0.000 0.500 1
Ag2 0.250 0.250 0.250 1

Looking at total energy for the records above, in order, we have -62.9; -84.9; -23.6; -35.4; -95.0; -49.8; -59.0; -63.2; -102.3; -9.5; -27.3; -28.4; -36.4; -12.6; -24.4; -78.6; -69.1; -40.5; -23.8; -36.7 eV for the cell shown.
Looking at magnetic moment for the records above, in order, we have 0.000; 0.001; 0.000; 0.000; 0.000; 0.000; 0.000; 0.000; 0.000; 0.000; 0.000; 0.000; 0.000; 0.000; 0.000; 0.007; 0.000; 0.000; 0.000; 0.000 μB per formula unit.